Record 1
The following is a DFT calculation (PBE) of crystalline Zn2SiHg at its relaxed geometry.

Structure (CIF):
```
data_Zn2SiHg
_chemical_formula_sum 'Zn2 Si1 Hg1'
_cell_length_a 2.866
_cell_length_b 2.866
_cell_length_c 8.924
_cell_angle_alpha 90.00
_cell_angle_beta 90.00
_cell_angle_gamma 90.00
_symmetry_space_group_name_H-M 'P 4 m m'
_symmetry_Int_Tables_number 99
_symmetry_space_group_name_Hall 'P 4 -2'
loop_
_atom_site_label
_atom_site_type_symbol
_atom_site_fract_x
_atom_site_fract_y
_atom_site_fract_z
Zn1 Zn 0.000 0.000 0.000
Zn2 Zn 0.500 0.500 0.210
Si1 Si 0.500 0.500 0.788
Hg1 Hg 0.000 0.000 0.483
```

Calculated values
Spin magnetization ... 0.00 μB per cell
D(E_F) ... 0.352 states/eV per atom
Relative energy among the computed polymorphs ... 91.9 meV/atom
ΔE_f (raw) ... 0.32 eV/atom

=====

Record 2
The following is a DFT calculation (PBE) of crystalline ZnSi2Hg at its relaxed geometry.

Structure (CIF):
```
data_ZnSi2Hg
_chemical_formula_sum 'Zn2 Si4 Hg2'
_cell_length_a 2.783
_cell_length_b 4.795
_cell_length_c 10.927
_cell_angle_alpha 90.00
_cell_angle_beta 90.00
_cell_angle_gamma 90.00
_symmetry_space_group_name_H-M 'I m m m'
_symmetry_Int_Tables_number 71
_symmetry_space_group_name_Hall '-I 2 2'
loop_
_atom_site_label
_atom_site_type_symbol
_atom_site_fract_x
_atom_site_fract_y
_atom_site_fract_z
Zn1 Zn 0.000 0.000 0.000
Si1 Si 0.000 0.500 0.282
Hg1 Hg 0.000 0.000 0.500
```

Calculated values
Spin magnetization ... 0.00 μB per cell
D(E_F) ... 0.231 states/eV per atom
Relative energy among the computed polymorphs ... 191.7 meV/atom
ΔE_f (raw) ... 0.44 eV/atom

=====

Record 3
The following is a DFT calculation (PBE) of crystalline ZnSi2Hg at its relaxed geometry.

Structure (CIF):
```
data_ZnSi2Hg
_chemical_formula_sum 'Zn2 Si4 Hg2'
_cell_length_a 6.442
_cell_length_b 3.720
_cell_length_c 6.982
_cell_angle_alpha 90.00
_cell_angle_beta 108.50
_cell_angle_gamma 90.00
_symmetry_space_group_name_H-M 'C 1 m 1'
_symmetry_Int_Tables_number 8
_symmetry_space_group_name_Hall 'C -2y'
loop_
_atom_site_label
_atom_site_type_symbol
_atom_site_fract_x
_atom_site_fract_y
_atom_site_fract_z
Zn1 Zn 0.000 0.000 0.000
Si1 Si 0.251 0.500 0.245
Si2 Si 0.470 0.000 0.398
Hg1 Hg 0.238 0.000 0.710
```

Calculated values
Spin magnetization ... 0.00 μB per cell
D(E_F) ... 0.222 states/eV per atom
Relative energy among the computed polymorphs ... 0.0 meV/atom
ΔE_f (raw) ... 0.25 eV/atom

=====

Record 4
The following is a DFT calculation (PBE) of crystalline ZnSi2Hg at its relaxed geometry.

Structure (CIF):
```
data_ZnSi2Hg
_chemical_formula_sum 'Zn2 Si4 Hg2'
_cell_length_a 2.730
_cell_length_b 5.110
_cell_length_c 10.798
_cell_angle_alpha 90.00
_cell_angle_beta 90.00
_cell_angle_gamma 90.00
_symmetry_space_group_name_H-M 'C m m m'
_symmetry_Int_Tables_number 65
_symmetry_space_group_name_Hall '-C 2 2'
loop_
_atom_site_label
_atom_site_type_symbol
_atom_site_fract_x
_atom_site_fract_y
_atom_site_fract_z
Zn1 Zn 0.000 0.000 0.000
Si1 Si 0.000 0.500 0.213
Hg1 Hg 0.000 0.000 0.500
```

Calculated values
Spin magnetization ... 0.00 μB per cell
D(E_F) ... 0.483 states/eV per atom
Relative energy among the computed polymorphs ... 220.8 meV/atom
ΔE_f (raw) ... 0.47 eV/atom